P:
The following is a GGA-PBE calculation of an optimized crystal structure of Ti2V2Mo, from Alexandria via LeMat-Bulk.

a = 3.120 Å, b = 5.173 Å, c = 5.209 Å
α = 86.63°, β = 72.73°, γ = 72.54°
Space group P-1 (No. 2)
Asymmetric unit:
1 Ti 0.194 0.217 0.395 (multiplicity 2)
2 V 0.395 0.381 0.830 (multiplicity 2)
3 Mo 0.000 0.000 0.000 (multiplicity 1)

Properties
DOS(E_F), states/eV per cell: 7.84

Q:
The following is a GGA-PBE calculation of an optimized crystal structure of Ti2V2Mo, from Alexandria via LeMat-Bulk.

a = 6.706 Å, b = 6.706 Å, c = 3.502 Å
α = 90.00°, β = 90.00°, γ = 90.00°
Space group P4/mbm (No. 127)
Asymmetric unit:
1 Ti 0.159 0.341 0.000 (multiplicity 4)
2 V 0.146 0.646 0.500 (multiplicity 4)
3 Mo 0.000 0.000 0.500 (multiplicity 2)

Properties
DOS(E_F), states/eV per cell: 13.25

Energies relative to the most stable structure, in meV per atom: P 0; Q 263.